1.
Below is crystalline RbNa2AcI6 at its relaxed geometry, with properties calculated at the PBE level.

Output
uncorrected formation energy	-1.414	eV per atom
M_tot	0.00	μB/f.u.
uncorrected energy	-3.116	eV per atom

Lattice parameters (Å, degrees): 8.4223 8.4223 23.0776 90.00 90.00 120.00
Space group R3 (No. 146, hexagonal axes)
Asymmetric unit:
1 Rb 0.0000 0.0000 0.0000 (multiplicity 3)
2 Na 0.0000 0.0000 0.2907 (multiplicity 3)
3 Na 0.0000 0.0000 0.8026 (multiplicity 3)
4 Ac 0.0000 0.0000 0.4832 (multiplicity 3)
5 I 0.0048 0.3259 0.8851 (multiplicity 9)
6 I 0.0126 0.6030 0.0559 (multiplicity 9)

2.
Below is crystalline Er2CuPt at its relaxed geometry, with properties calculated at the PBE level.

Output
M_tot	0.00	μB/f.u.
uncorrected energy	-5.621	eV per atom

Lattice parameters (Å, degrees): 4.877 4.877 6.910 90.00 90.00 90.00
Space group I4/mmm (No. 139)
Asymmetric unit:
1 Er 0.000 0.500 0.250 (multiplicity 4)
2 Cu 0.000 0.000 0.000 (multiplicity 2)
3 Pt 0.000 0.000 0.500 (multiplicity 2)

3.
Below is crystalline CdPb2IO6 at its relaxed geometry, with properties calculated at the PBE level.

Output
uncorrected formation energy	-0.756	eV per atom
M_tot	0.00	μB/f.u.
uncorrected energy	-4.719	eV per atom

Lattice parameters (Å, degrees): 5.813 6.172 10.273 90.00 124.20 90.00
Space group P2_1/c (No. 14)
Asymmetric unit:
1 Cd 0.000 0.000 0.000 (multiplicity 2)
2 Pb 0.230 0.049 0.735 (multiplicity 4)
3 I 0.500 0.000 0.500 (multiplicity 2)
4 O 0.194 0.185 0.481 (multiplicity 4)
5 O 0.254 0.742 0.451 (multiplicity 4)
6 O 0.339 0.043 0.268 (multiplicity 4)

4.
Below is crystalline SrLa3Se4 at its relaxed geometry, with properties calculated at the PBE level.

Output
uncorrected formation energy	-1.988	eV per atom
M_tot	0.00	μB/f.u.
uncorrected energy	-5.788	eV per atom

Lattice parameters (Å, degrees): 8.721 12.271 4.319 90.00 90.00 90.00
Space group Cmmm (No. 65)
Asymmetric unit:
1 Sr 0.000 0.000 0.000 (multiplicity 2)
2 La 0.000 0.500 0.000 (multiplicity 2)
3 La 0.250 0.250 0.500 (multiplicity 4)
4 Se 0.000 0.250 0.000 (multiplicity 4)
5 Se 0.248 0.500 0.500 (multiplicity 4)

5.
Below is crystalline Sr4Pa3IrN8 at its relaxed geometry, with properties calculated at the PBE level.

Output
uncorrected formation energy	-1.049	eV per atom
M_tot	0.00	μB/f.u.
uncorrected energy	-7.966	eV per atom

Lattice parameters (Å, degrees): 12.961 6.826 7.057 90.00 122.24 90.00
Space group C2/m (No. 12)
Asymmetric unit:
1 Sr 0.000 0.000 0.000 (multiplicity 2)
2 Sr 0.000 0.500 0.000 (multiplicity 2)
3 Sr 0.250 0.250 0.000 (multiplicity 4)
4 Pa 0.000 0.000 0.500 (multiplicity 2)
5 Pa 0.250 0.250 0.500 (multiplicity 4)
6 Ir 0.000 0.500 0.500 (multiplicity 2)
7 N 0.024 0.252 0.313 (multiplicity 8)
8 N 0.219 0.000 0.272 (multiplicity 4)
9 N 0.230 0.000 0.703 (multiplicity 4)

6.
Below is crystalline Li5Ca2CdPd2 at its relaxed geometry, with properties calculated at the PBE level.

Output
M_tot	0.00	μB/f.u.
uncorrected energy	-2.805	eV per atom

Lattice parameters (Å, degrees): 9.850 9.850 4.263 90.00 90.00 90.00
Space group P4/mbm (No. 127)
Asymmetric unit:
1 Li 0.000 0.500 0.000 (multiplicity 2)
2 Li 0.068 0.213 0.000 (multiplicity 8)
3 Ca 0.175 0.675 0.500 (multiplicity 4)
4 Cd 0.000 0.000 0.500 (multiplicity 2)
5 Pd 0.117 0.383 0.500 (multiplicity 4)

7.
Below is crystalline CeCr2H9 at its relaxed geometry, with properties calculated at the PBE level.

Output
M_tot	0.00	μB/f.u.
uncorrected energy	-4.547	eV per atom

Lattice parameters (Å, degrees): 7.794 7.794 4.999 90.00 90.00 90.00
Space group I4_1/amd (No. 141, origin choice 2)
Asymmetric unit:
1 Ce 0.000 0.250 0.375 (multiplicity 4)
2 Cr 0.000 0.000 0.000 (multiplicity 8)
3 H 0.000 0.250 0.875 (multiplicity 4)
4 H 0.121 0.055 0.705 (multiplicity 32)

8.
Below is crystalline YTh2C2 at its relaxed geometry, with properties calculated at the PBE level.

Output
M_tot	0.00	μB/f.u.
energy above the most stable polymorph in this dataset	0.0	meV/atom
uncorrected energy	-8.207	eV per atom

Lattice parameters (Å, degrees): 11.750 5.365 7.386 90.00 110.07 90.00
Space group C2/m (No. 12)
Asymmetric unit:
1 Y 0.157 0.000 0.091 (multiplicity 4)
2 Th 0.006 0.500 0.743 (multiplicity 4)
3 Th 0.165 0.000 0.582 (multiplicity 4)
4 C 0.003 0.000 0.252 (multiplicity 4)
5 C 0.160 0.500 0.580 (multiplicity 4)